# 1
Below is a relaxed structure of Na2SrMnCl8, with properties calculated at the GGA-PBE level.

CIF file:
```
data_Na2SrMnCl8
_chemical_formula_sum 'Na2 Sr1 Mn1 Cl8'
_cell_length_a 6.3521
_cell_length_b 6.3537
_cell_length_c 8.2803
_cell_angle_alpha 90.05
_cell_angle_beta 90.01
_cell_angle_gamma 92.00
_symmetry_space_group_name_H-M 'P -1'
_symmetry_Int_Tables_number 2
loop_
_symmetry_equiv_pos_as_xyz
'x,y,z'
'-x,-y,-z'
loop_
_atom_site_label
_atom_site_fract_x
_atom_site_fract_y
_atom_site_fract_z
Na1 0.0002 0.0005 0.2534
Sr1 0.5000 0.5000 0.0000
Mn1 0.5000 0.5000 0.5000
Cl1 0.1474 0.2285 0.9998
Cl2 0.2036 0.2842 0.5003
Cl3 0.3550 0.7069 0.3037
Cl4 0.3556 0.7074 0.6965
```

=====

# 2
Below is a relaxed structure of NaSr2MnCl8, with properties calculated at the GGA-PBE level.

CIF file:
```
data_NaSr2MnCl8
_chemical_formula_sum 'Na1 Sr2 Mn1 Cl8'
_cell_length_a 6.2753
_cell_length_b 8.4979
_cell_length_c 6.6426
_cell_angle_alpha 90.00
_cell_angle_beta 90.56
_cell_angle_gamma 90.00
_symmetry_space_group_name_H-M 'P 1 2/m 1'
_symmetry_Int_Tables_number 10
loop_
_symmetry_equiv_pos_as_xyz
'x,y,z'
'-x,-y,-z'
'-x,y,-z'
'x,-y,z'
loop_
_atom_site_label
_atom_site_fract_x
_atom_site_fract_y
_atom_site_fract_z
Na1 0.0000 0.0000 0.0000
Sr1 0.5000 0.2569 0.5000
Mn1 0.0000 0.5000 0.0000
Cl1 0.2079 0.3024 0.1401
Cl2 0.2461 0.5000 0.6763
Cl3 0.2810 0.0000 0.6853
```

=====

Number 1: E -0.14196 hartree per atom, formation energy from raw total energies -1507.7 meV per atom, size of the total moment 2.985 μB/cell. Number 2: E -0.15416 hartree per atom, formation energy from raw total energies -1809.5 meV per atom, size of the total moment 4.000 μB/cell.